Arrangement A

Density functional theory data (PBE) for a relaxed Tm4Al2Cd crystal.

Calculated values
DOS at the Fermi energy = 5.026 states/eV per cell
total magnetic moment = 0.000 μB per formula unit

Unit cell a=5.0647 b=5.0647 c=8.6654 alpha=73.01 beta=73.01 gamma=60.00
Closest atoms and distances in Å follow each position.
Atoms (fractional coordinates):
Tm  0.8701  0.8701  0.3897  4 Al 3.00-3.16, 1 Cd 3.18
Tm  0.1299  0.1299  0.6103  4 Al 3.00-3.16, 1 Cd 3.18
Tm  0.6171  0.6171  0.1486  4 Al 3.02-3.19, 3 Cd 3.17
Tm  0.3829  0.3829  0.8514  4 Al 3.02-3.19, 3 Cd 3.17
Al  0.7474  0.7474  0.7577  8 Tm 3.00-3.19
Al  0.2526  0.2526  0.2423  8 Tm 3.00-3.19
Cd  0.0000  0.0000  0.0000  8 Tm 3.17-3.18, 6 Al 3.53



Arrangement B

Density functional theory data (PBE) for a relaxed Tm4Al2Cd crystal.

Calculated values
DOS at the Fermi energy = 8.207 states/eV per cell
total magnetic moment = 0.000 μB per formula unit

Unit cell a=4.9915 b=4.9915 c=9.4876 alpha=74.75 beta=74.75 gamma=60.00
Closest atoms and distances in Å follow each position.
Atoms (fractional coordinates):
Tm  0.3812  0.3812  0.8566  3 Cd 3.16, 3 Al 3.17
Tm  0.2053  0.2053  0.3842  4 Al 2.96-3.01
Tm  0.7947  0.7947  0.6158  4 Al 2.96-3.01
Tm  0.6188  0.6188  0.1434  3 Cd 3.16, 3 Al 3.17
Al  0.0961  0.0961  0.7116  1 Cd 2.61
Al  0.9039  0.9039  0.2884  1 Cd 2.61
Cd  0.0000  0.0000  0.0000  2 Al 2.61



Winner for stability: arrangement A



Arrangement A

Density functional theory data (PBE) for a relaxed Tm4AlCd crystal.

Calculated values
DOS at the Fermi energy = 7.167 states/eV per cell
total magnetic moment = 0.000 μB per formula unit

Unit cell a=5.0154 b=5.0153 c=8.7321 alpha=73.31 beta=73.31 gamma=59.99
Closest atoms and distances in Å follow each position.
Atoms (fractional coordinates):
Tm  0.6230  0.6229  0.1311  1 Al 3.04, 3 Cd 3.09
Tm  0.3770  0.3771  0.8689  1 Al 3.04, 3 Cd 3.09
Tm  0.1265  0.1266  0.6204  3 Al 3.06, 1 Cd 3.13
Tm  0.8735  0.8734  0.3796  3 Al 3.06, 1 Cd 3.13
Al  0.5000  0.5000  0.5000  8 Tm 3.04-3.06
Cd  0.0000  0.0000  0.0000  8 Tm 3.09-3.13



Arrangement B

Density functional theory data (PBE) for a relaxed Tm4AlCd crystal.

Calculated values
DOS at the Fermi energy = 8.498 states/eV per cell
total magnetic moment = 0.000 μB per formula unit

Unit cell a=3.4397 b=7.0546 c=8.5881 alpha=121.66 beta=78.45 gamma=75.89
Closest atoms and distances in Å follow each position.
Atoms (fractional coordinates):
Tm  0.8331  0.5127  0.8210  2 Al 3.16, 2 Cd 3.21, 5 Tm 3.38-3.53
Tm  0.3203  0.0264  0.3330  2 Al 3.15, 2 Cd 3.20, 5 Tm 3.38-3.50
Tm  0.1669  0.4873  0.1790  2 Al 3.16, 2 Cd 3.21, 5 Tm 3.38-3.53
Tm  0.6797  0.9736  0.6670  2 Al 3.15, 2 Cd 3.20, 5 Tm 3.38-3.50
Al  0.5000  0.5000  0.5000  8 Tm 3.15-3.16, 2 Al 3.44, 2 Cd 3.47
Cd  0.0000  0.0000  0.0000  8 Tm 3.20-3.21, 2 Cd 3.44, 2 Al 3.47



Winner for stability: arrangement B



Arrangement A

Density functional theory data (PBE) for a relaxed Tm8Al2Cd crystal.

Calculated values
DOS at the Fermi energy = 11.588 states/eV per cell
total magnetic moment = 0.000 μB per formula unit

Unit cell a=4.9996 b=7.0847 c=9.1022 alpha=105.02 beta=105.94 gamma=90.00
Closest atoms and distances in Å follow each position.
Atoms (fractional coordinates):
Tm  0.4041  0.5327  0.8083  2 Al 3.24, 1 Cd 3.28, 7 Tm 3.29-3.62
Tm  0.6663  0.9478  0.3327  3 Al 2.95-3.13, 1 Cd 3.03, 2 Tm 3.29-3.30
Tm  0.8061  0.7145  0.6122  3 Al 3.00-3.18, 1 Tm 3.30
Tm  0.9743  0.2450  0.9485  1 Al 3.04, 2 Cd 3.14, 2 Tm 3.38
Tm  0.1939  0.2855  0.3878  3 Al 3.00-3.18, 1 Tm 3.30
Tm  0.3337  0.0522  0.6673  3 Al 2.95-3.13, 1 Cd 3.03, 2 Tm 3.29-3.30
Tm  0.5959  0.4673  0.1917  2 Al 3.24, 1 Cd 3.28, 7 Tm 3.29-3.62
Tm  0.0257  0.7550  0.0515  1 Al 3.04, 2 Cd 3.14, 2 Tm 3.38
Al  0.8065  0.2914  0.6131  9 Tm 2.95-3.24
Al  0.1935  0.7086  0.3869  9 Tm 2.95-3.24
Cd  0.5000  0.0000  0.0000  8 Tm 3.03-3.28



Arrangement B

Density functional theory data (PBE) for a relaxed Tm8Al2Cd crystal.

Calculated values
DOS at the Fermi energy = 12.532 states/eV per cell
total magnetic moment = 0.001 μB per formula unit

Unit cell a=4.9522 b=8.3146 c=8.6326 alpha=118.79 beta=106.67 gamma=90.00
Closest atoms and distances in Å follow each position.
Atoms (fractional coordinates):
Tm  0.6590  0.8713  0.3179  3 Al 3.09-3.17, 1 Cd 3.30, 5 Tm 3.31-3.45
Tm  0.3410  0.5533  0.6821  3 Al 3.09-3.17, 1 Cd 3.30, 5 Tm 3.31-3.45
Tm  0.1454  0.1454  0.2909  2 Cd 3.23, 8 Tm 3.31-3.45, 2 Al 3.36
Tm  0.0000  0.3133  0.0000  7 Tm 3.10-3.37, 2 Al 3.20
Tm  0.8546  0.8546  0.7091  2 Cd 3.23, 8 Tm 3.31-3.45, 2 Al 3.36
Tm  0.6590  0.4467  0.3179  3 Al 3.09-3.17, 1 Cd 3.30, 5 Tm 3.31-3.45
Tm  0.3410  0.1287  0.6821  3 Al 3.09-3.17, 1 Cd 3.30, 5 Tm 3.31-3.45
Tm  0.0000  0.6867  0.0000  7 Tm 3.10-3.37, 2 Al 3.20
Al  0.1957  0.6956  0.3913  10 Tm 3.09-3.36
Al  0.8043  0.3044  0.6087  10 Tm 3.09-3.36
Cd  0.5000  0.0000  0.0000  12 Tm 3.23-3.59



Winner for stability: arrangement A